15
Lattice="4.033 2.328 6.579 -4.033 2.328 6.579 0.000 -4.657 6.579" Properties=species:S:1:pos:R:3 comment="PmHo3Tm3Se8 (GGA-PBE, relaxed)" total_energy_ev_per_atom=-5.779 pbc="T T T"
Pm 0.000 0.000 0.000
Ho -4.033 0.000 9.869
Ho -2.017 1.164 3.290
Ho 2.017 1.164 3.290
Tm -2.017 -1.164 6.579
Tm -2.017 1.164 13.158
Tm 0.000 2.328 6.579
Se 0.000 0.000 4.957
Se 0.000 -2.221 8.275
Se -1.924 1.111 8.275
Se -1.924 -1.111 11.462
Se 1.924 1.111 8.275
Se 1.924 -1.111 11.462
Se 0.000 2.221 11.462
Se 0.000 0.000 14.781